# Nd3Tm6In | the Alexandria database | PBE | relaxed
data_Nd3Tm6In
_symmetry_space_group_name_H-M 'P 1'
_symmetry_Int_Tables_number 1
_cell_length_a 3.539
_cell_length_b 12.934
_cell_length_c 15.929
_cell_angle_alpha 121.33
_cell_angle_beta 90.00
_cell_angle_gamma 90.00
loop_
_symmetry_equiv_pos_as_xyz
'x,y,z'
loop_
_atom_site_label
_atom_site_type_symbol
_atom_site_fract_x
_atom_site_fract_y
_atom_site_fract_z
Tm1 Tm 0.750 0.592 0.710
Nd1 Nd 0.250 0.873 0.907
Tm2 Tm 0.250 0.334 0.688
Tm3 Tm 0.250 0.143 0.893
Tm4 Tm 0.250 0.617 0.900
In1 In 0.750 0.116 0.692
Tm5 Tm 0.250 0.886 0.522
Tm6 Tm 0.750 0.383 0.100
Tm7 Tm 0.750 0.666 0.312
Nd2 Nd 0.750 0.625 0.503
Tm8 Tm 0.750 0.114 0.478
Tm9 Tm 0.250 0.110 0.281
Nd3 Nd 0.750 0.127 0.093
Tm10 Tm 0.750 0.857 0.107
Nd4 Nd 0.750 0.386 0.895
Tm11 Tm 0.250 0.408 0.290
In2 In 0.250 0.884 0.308
Nd5 Nd 0.250 0.375 0.497
Nd6 Nd 0.250 0.614 0.105
Tm12 Tm 0.750 0.890 0.719
# * calculated total energy: -4.41 eV/atom
# * DOS(E_F): 27.16 states/eV per cell
# * M_tot: 0.00 μB/f.u.
# * E_form: -23 meV/atom


# Er2Si2HgRh5 | the Alexandria database | PBE | relaxed
data_Er2Si2HgRh5
_symmetry_space_group_name_H-M 'P 1'
_symmetry_Int_Tables_number 1
_cell_length_a 3.517
_cell_length_b 9.757
_cell_length_c 9.757
_cell_angle_alpha 90.00
_cell_angle_beta 90.00
_cell_angle_gamma 90.00
loop_
_symmetry_equiv_pos_as_xyz
'x,y,z'
loop_
_atom_site_label
_atom_site_type_symbol
_atom_site_fract_x
_atom_site_fract_y
_atom_site_fract_z
Er1 Er 0.000 0.675 0.175
Si1 Si 0.000 0.376 0.124
Si2 Si 0.000 0.124 0.624
Er2 Er 0.000 0.325 0.825
Rh1 Rh 0.500 0.570 0.717
Rh2 Rh 0.500 0.217 0.070
Er3 Er 0.000 0.825 0.675
Hg1 Hg 0.000 0.500 0.500
Rh3 Rh 0.500 0.000 0.500
Er4 Er 0.000 0.175 0.325
Si3 Si 0.000 0.876 0.376
Si4 Si 0.000 0.624 0.876
Rh4 Rh 0.500 0.500 0.000
Rh5 Rh 0.500 0.930 0.217
Rh6 Rh 0.500 0.783 0.930
Hg2 Hg 0.000 0.000 0.000
Rh7 Rh 0.500 0.070 0.783
Rh8 Rh 0.500 0.430 0.283
Rh9 Rh 0.500 0.717 0.430
Rh10 Rh 0.500 0.283 0.570
# * calculated total energy: -6.60 eV/atom
# * DOS(E_F): 3.61 states/eV per cell
# * M_tot: 0.00 μB/f.u.
# * formation energy from raw total energies: -0.90 eV per atom


# TbPmDy2Er6 | the Alexandria database | PBE | relaxed
data_TbPmDy2Er6
_symmetry_space_group_name_H-M 'P 1'
_symmetry_Int_Tables_number 1
_cell_length_a 9.493
_cell_length_b 8.728
_cell_length_c 8.728
_cell_angle_alpha 117.83
_cell_angle_beta 93.80
_cell_angle_gamma 93.80
loop_
_symmetry_equiv_pos_as_xyz
'x,y,z'
loop_
_atom_site_label
_atom_site_type_symbol
_atom_site_fract_x
_atom_site_fract_y
_atom_site_fract_z
Er1 Er 0.381 0.508 0.292
Er2 Er 0.683 0.021 0.569
Pm1 Pm 0.750 0.025 0.975
Dy1 Dy 0.455 0.804 0.698
Er3 Er 0.317 0.979 0.431
Dy2 Dy 0.545 0.196 0.302
Er4 Er 0.943 0.876 0.251
Er5 Er 0.881 0.292 0.508
Dy3 Dy 0.045 0.302 0.196
Tb1 Tb 0.250 0.409 0.591
Pm2 Pm 0.250 0.975 0.025
Er6 Er 0.183 0.569 0.021
Tb2 Tb 0.750 0.591 0.409
Er7 Er 0.817 0.431 0.979
Er8 Er 0.119 0.708 0.492
Er9 Er 0.557 0.749 0.124
Dy4 Dy 0.955 0.698 0.804
Er10 Er 0.619 0.492 0.708
Er11 Er 0.057 0.124 0.749
Er12 Er 0.443 0.251 0.876
# * calculated total energy: -4.47 eV/atom
# * DOS(E_F): 29.05 states/eV per cell
# * M_tot: 0.00 μB/f.u.
# * E_form: 122 meV/atom


# Ce2Th7In2 | the Alexandria database | PBE | relaxed
data_Ce2Th7In2
_symmetry_space_group_name_H-M 'P 1'
_symmetry_Int_Tables_number 1
_cell_length_a 6.777
_cell_length_b 8.972
_cell_length_c 6.777
_cell_angle_alpha 90.00
_cell_angle_beta 120.24
_cell_angle_gamma 90.00
loop_
_symmetry_equiv_pos_as_xyz
'x,y,z'
loop_
_atom_site_label
_atom_site_type_symbol
_atom_site_fract_x
_atom_site_fract_y
_atom_site_fract_z
Ce1 Ce 0.273 0.000 0.727
Th1 Th 0.500 0.687 0.000
In1 In 0.780 0.500 0.780
Th2 Th 0.500 0.313 0.000
Th3 Th 0.000 0.313 0.500
Ce2 Ce 0.727 0.000 0.273
Th4 Th 0.000 0.000 0.000
Th5 Th 0.500 0.191 0.500
In2 In 0.220 0.500 0.220
Th6 Th 0.500 0.809 0.500
Th7 Th 0.000 0.687 0.500
# * calculated total energy: -6.01 eV/atom
# * DOS(E_F): 21.58 states/eV per cell
# * M_tot: 0.00 μB/f.u.
# * E_form: 288 meV/atom


# Ti5GaAu | the Alexandria database | PBE | relaxed
data_Ti5GaAu
_symmetry_space_group_name_H-M 'P 1'
_symmetry_Int_Tables_number 1
_cell_length_a 7.256
_cell_length_b 7.256
_cell_length_c 5.048
_cell_angle_alpha 90.12
_cell_angle_beta 90.12
_cell_angle_gamma 113.99
loop_
_symmetry_equiv_pos_as_xyz
'x,y,z'
loop_
_atom_site_label
_atom_site_type_symbol
_atom_site_fract_x
_atom_site_fract_y
_atom_site_fract_z
Ti1 Ti 0.220 0.397 0.252
Ti2 Ti 0.006 0.365 0.752
Ti3 Ti 0.780 0.603 0.748
Ti4 Ti 0.994 0.635 0.248
Ti5 Ti 0.365 0.006 0.252
Ti6 Ti 0.792 0.208 0.250
Ti7 Ti 0.208 0.792 0.750
Ga1 Ga 0.416 0.584 0.750
Au1 Au 0.000 0.000 0.500
Ti8 Ti 0.397 0.220 0.752
Ti9 Ti 0.603 0.780 0.248
Au2 Au 0.000 0.000 0.000
Ga2 Ga 0.584 0.416 0.250
Ti10 Ti 0.635 0.994 0.748
# * calculated total energy: -6.67 eV/atom
# * DOS(E_F): 19.13 states/eV per cell
# * M_tot: 0.00 μB/f.u.
# * E_form: -127 meV/atom


# Tb6Nd2Th3 | the Alexandria database | PBE | relaxed
data_Tb6Nd2Th3
_symmetry_space_group_name_H-M 'P 1'
_symmetry_Int_Tables_number 1
_cell_length_a 6.202
_cell_length_b 6.209
_cell_length_c 12.942
_cell_angle_alpha 76.27
_cell_angle_beta 61.62
_cell_angle_gamma 60.04
loop_
_symmetry_equiv_pos_as_xyz
'x,y,z'
loop_
_atom_site_label
_atom_site_type_symbol
_atom_site_fract_x
_atom_site_fract_y
_atom_site_fract_z
Th1 Th 0.333 0.334 0.000
Tb1 Tb 0.243 0.330 0.755
Tb2 Tb 0.089 0.000 0.244
Th2 Th 0.667 0.666 0.000
Tb3 Tb 0.757 0.670 0.245
Tb4 Tb 0.911 0.000 0.756
Nd1 Nd 0.834 0.332 0.500
Tb5 Tb 0.428 0.330 0.245
Nd2 Nd 0.166 0.668 0.500
Tb6 Tb 0.572 0.670 0.755
Th3 Th 0.000 0.000 0.000
# * calculated total energy: -5.26 eV/atom
# * DOS(E_F): 15.16 states/eV per cell
# * M_tot: 0.00 μB/f.u.
# * E_form: 155 meV/atom